VASP calculation (GGA-PBE) on a relaxed Ca3Zn3Au crystal.

Structure (POSCAR):
```
Ca3Zn3Au
1.0
5.455 -2.238 0.000
5.455 2.238 0.000
-4.867 0.000 14.125
Ca Zn Au
6 6 2
Cartesian
-1.463 0.000 5.453
-3.295 0.000 13.036
1.592 0.000 3.305
4.450 0.000 10.820
9.338 0.000 1.089
7.506 0.000 8.672
1.790 0.000 6.518
-0.113 0.000 13.039
1.268 0.000 10.870
4.775 0.000 3.255
6.155 0.000 1.086
4.252 0.000 7.607
-0.201 0.000 8.631
6.243 0.000 5.494
```

Properties
DFT formation energy	-269	kJ/mol of formula units
total magnetic moment	0.0	Bohr magnetons per cell